Entry 1:
CrGa2Os | PBE | optimized geometry

## Properties
- offset from the most stable computed form (meV/atom) = 583
- energy relative to the elements (eV/atom) = 0.553
- space-group type = No. 122
- total energy (eV for the cell shown) = -49.4

a b c (Å): 6.9464 6.9464 5.5808
angles (deg): 51.51 51.51 90.00
Atoms (fractional coordinates):
Os: 0.7500 0.2500 0.5000
Os: 0.0000 0.0000 0.0000
Ga: 0.3750 0.3681 0.7500
Ga: 0.8750 0.8819 0.7500
Cr: 0.2500 0.7500 0.5000
Ga: 0.6319 0.1250 0.2500
Cr: 0.5000 0.5000 0.0000
Ga: 0.1181 0.6250 0.2500

***

Entry 2:
Cr3GaOs | PBE | optimized geometry

## Properties
- offset from the most stable computed form (meV/atom) = 483
- energy relative to the elements (eV/atom) = 1.732
- space-group type = No. 221
- total energy (eV for the cell shown) = -34.5

a b c (Å): 4.2444 4.2444 4.2444
angles (deg): 90.00 90.00 90.00
Atoms (fractional coordinates):
Cr: 0.0000 0.0000 0.5000
Cr: 0.5000 0.0000 0.0000
Cr: 0.0000 0.5000 0.0000
Os: 0.5000 0.5000 0.5000
Ga: 0.0000 0.0000 0.0000

***

Entry 3:
Cr2Ga2Os | PBE | optimized geometry

## Properties
- energy relative to the elements (eV/atom) = 0.212
- space-group type = No. 127
- total energy (eV for the cell shown) = -70.9

a b c (Å): 6.7531 6.7531 3.0323
angles (deg): 90.00 90.00 90.00
Atoms (fractional coordinates):
Cr: 0.3310 0.1690 0.5000
Os: 0.0000 0.0000 0.0000
Ga: 0.1326 0.3674 0.0000
Cr: 0.6690 0.8310 0.5000
Ga: 0.3674 0.8674 0.0000
Cr: 0.1690 0.6690 0.5000
Os: 0.5000 0.5000 0.0000
Cr: 0.8310 0.3310 0.5000
Ga: 0.6326 0.1326 0.0000
Ga: 0.8674 0.6326 0.0000